{"formula": "Sb2IrN", "functional": "PBE-GGA", "state": "relaxed", "lattice": [[5.6995, 0.0000, 0.0000], [0.0000, 5.6995, 0.0000], [2.8497, 2.8497, 5.1801]], "species": ["Sb", "N", "Ir", "Sb", "Sb", "Ir", "N", "Sb"], "fractional_positions": [[0.5851, 0.1250, 0.2500], [0.2500, 0.7500, 0.5000], [0.0000, 0.0000, 0.0000], [0.8750, 0.8351, 0.7500], [0.1649, 0.6250, 0.2500], [0.7500, 0.2500, 0.5000], [0.5000, 0.5000, 0.0000], [0.3750, 0.4149, 0.7500]], "spacegroup": "No. 122", "m_tot_mub_per_fu": 0.000, "raw_formation_energy_ev_per_atom": 0.418, "dft_energy_ev_per_atom": -5.940}